# 1
ZnCrAs after structural relaxation. Source: Alexandria, functional GGA-PBE.

- ΔH_f (0 K): 310 meV/atom

a = 4.0335 Å, b = 4.0335 Å, c = 3.2655 Å
α = 90.00°, β = 90.00°, γ = 120.00°
Positions (direct):
Zn: 0.0000 0.0000 0.0000
Cr: 0.3333 0.6667 0.5000
As: 0.6667 0.3333 0.5000

=====

# 2
ZnCr2As after structural relaxation. Source: Alexandria, functional GGA-PBE.

- Distance to the lowest polymorph of the same formula: 0.18 eV per formula unit
- ΔH_f (0 K): 187 meV/atom

a = 3.0889 Å, b = 3.0889 Å, c = 5.8222 Å
α = 90.00°, β = 90.00°, γ = 90.00°
Positions (direct):
Zn: 0.0000 0.0000 0.0000
Cr: 0.5000 0.5000 0.2654
Cr: 0.5000 0.5000 0.7346
As: 0.0000 0.0000 0.5000

=====

# 3
ZnCr2As after structural relaxation. Source: Alexandria, functional GGA-PBE.

- Distance to the lowest polymorph of the same formula: 0.41 eV per formula unit
- ΔH_f (0 K): 244 meV/atom

a = 2.8133 Å, b = 3.6930 Å, c = 5.4365 Å
α = 90.00°, β = 100.63°, γ = 90.00°
Positions (direct):
Zn: 0.0000 0.0000 0.0000
Cr: 0.3917 0.5000 0.7431
Cr: 0.6083 0.5000 0.2569
As: 0.0000 0.0000 0.5000

=====

# 4
Zn2CrAs after structural relaxation. Source: Alexandria, functional GGA-PBE.

- ΔH_f (0 K): 337 meV/atom

a = 8.6734 Å, b = 8.6734 Å, c = 8.6734 Å
α = 19.91°, β = 19.91°, γ = 19.91°
Positions (direct):
Zn: 0.2464 0.2464 0.2464
Zn: 0.7536 0.7536 0.7536
Cr: 0.5000 0.5000 0.5000
As: 0.0000 0.0000 0.0000

=====

# 5
ZnCr2As after structural relaxation. Source: Alexandria, functional GGA-PBE.

- Distance to the lowest polymorph of the same formula: 0.26 eV per formula unit
- ΔH_f (0 K): 207 meV/atom

a = 8.4288 Å, b = 8.4288 Å, c = 8.4288 Å
α = 19.39°, β = 19.39°, γ = 19.39°
Positions (direct):
Zn: 0.0000 0.0000 0.0000
Cr: 0.2475 0.2475 0.2475
Cr: 0.5157 0.5157 0.5157
As: 0.7688 0.7688 0.7688

=====

# 6
ZnCr2As after structural relaxation. Source: Alexandria, functional GGA-PBE.

- Distance to the lowest polymorph of the same formula: 0.77 eV per formula unit
- ΔH_f (0 K): 334 meV/atom

a = 8.1762 Å, b = 8.1762 Å, c = 8.1762 Å
α = 19.64°, β = 19.64°, γ = 19.64°
Positions (direct):
Zn: 0.0000 0.0000 0.0000
Cr: 0.2456 0.2456 0.2456
Cr: 0.7544 0.7544 0.7544
As: 0.5000 0.5000 0.5000

=====

# 7
ZnCrAs after structural relaxation. Source: Alexandria, functional GGA-PBE.

- ΔH_f (0 K): 243 meV/atom

a = 4.3151 Å, b = 4.3151 Å, c = 4.3151 Å
α = 60.00°, β = 60.00°, γ = 60.00°
Positions (direct):
Zn: 0.0000 0.0000 0.0000
Cr: 0.5000 0.5000 0.5000
As: 0.2500 0.2500 0.2500

=====

# 8
ZnCr2As after structural relaxation. Source: Alexandria, functional GGA-PBE.

- Distance to the lowest polymorph of the same formula: 0.48 eV per formula unit
- ΔH_f (0 K): 263 meV/atom

a = 2.6128 Å, b = 2.6128 Å, c = 9.3958 Å
α = 90.00°, β = 90.00°, γ = 108.53°
Positions (direct):
Zn: 0.0000 0.0000 0.0000
Cr: 0.0000 0.0000 0.4179
Cr: 0.5000 0.5000 0.2223
As: 0.5000 0.5000 0.6317

=====

Number 2 is which compound?
ZnCr2As

=====

The lowest ΔH_f (0 K) belongs to which entry?
number 2